Crystalline Ba2Sr5Mg at its relaxed geometry, computed with PBE.

Computed properties:
- total magnetization (μB/atom) = 0.00
- mass density (g cm⁻³) = 2.91
- E_tot (hartree per atom) = -0.063
- formation energy from the elements (eV per atom) = 0.005

a = 10.3915 Å, b = 18.5666 Å, c = 4.3616 Å
α = 90.00°, β = 90.00°, γ = 90.00°
Space group Pbam (No. 55)
Asymmetric unit:
Ba (0.2085, 0.1154, 0.0000)
Sr (0.0000, 0.5000, 0.5000)
Sr (0.0037, 0.2726, 0.5000)
Sr (0.2024, 0.8856, 0.0000)
Mg (0.0000, 0.0000, 0.5000)

***

Crystalline GeSb2HI at its relaxed geometry, computed with PBE.

Computed properties:
- excess energy over the best structure of this formula in the dataset (meV per atom) = 0.0
- total magnetization (μB/atom) = 0.00
- mass density (g cm⁻³) = 6.09
- E_tot (hartree per atom) = -0.111

a = 4.4412 Å, b = 4.4412 Å, c = 6.1380 Å
α = 90.00°, β = 90.00°, γ = 90.00°
Space group P4/mmm (No. 123)
Asymmetric unit:
Ge (0.0000, 0.0000, 0.0000)
Sb (0.0000, 0.5000, 0.5000)
H (0.5000, 0.5000, 0.5000)
I (0.5000, 0.5000, 0.0000)

***

Crystalline KSbOs2 at its relaxed geometry, computed with PBE.

Computed properties:
- formation energy from raw total energies (eV/atom) = 1.335
- total magnetization (μB/atom) = 0.35
- mass density (g cm⁻³) = 11.92
- E_tot (hartree per atom) = -0.205

a = 4.7465 Å, b = 4.7465 Å, c = 6.6939 Å
α = 90.00°, β = 90.00°, γ = 90.00°
Space group I-4m2 (No. 119)
Asymmetric unit:
K (0.0000, 0.0000, 0.0000)
Sb (0.0000, 0.5000, 0.7500)
Os (0.0000, 0.0000, 0.5000)
Os (0.0000, 0.5000, 0.2500)

***

Crystalline BaMn3Au at its relaxed geometry, computed with PBE.

Computed properties:
- excess energy over the best structure of this formula in the dataset (meV per atom) = 1496.6
- total magnetization (μB/atom) = 2.15
- mass density (g cm⁻³) = 6.48
- E_tot (hartree per atom) = -0.165
- formation energy from the elements (eV per atom) = 2.052

a = 5.0394 Å, b = 5.0394 Å, c = 5.0394 Å
α = 90.00°, β = 90.00°, γ = 90.00°
Space group Pm-3m (No. 221)
Asymmetric unit:
Ba (0.0000, 0.0000, 0.0000)
Mn (0.0000, 0.0000, 0.5000)
Au (0.5000, 0.5000, 0.5000)

***

Crystalline Pt2PbW at its relaxed geometry, computed with PBE.

Computed properties:
- total magnetization (μB/atom) = 0.00
- mass density (g cm⁻³) = 17.42
- E_tot (hartree per atom) = -0.254
- formation energy from the elements (eV per atom) = 0.272

a = 3.2438 Å, b = 3.2438 Å, c = 7.0754 Å
α = 90.00°, β = 90.00°, γ = 90.00°
Space group P4mm (No. 99)
Asymmetric unit:
Pt (0.0000, 0.0000, 0.0000)
Pt (0.5000, 0.5000, 0.2298)
Pb (0.5000, 0.5000, 0.7281)
W (0.0000, 0.0000, 0.4125)

***

Crystalline PaSi2NiRu2 at its relaxed geometry, computed with PBE.

Computed properties:
- formation energy from raw total energies (eV/atom) = -0.177
- total magnetization (μB/atom) = 0.00
- mass density (g cm⁻³) = 9.27
- E_tot (hartree per atom) = -0.280

a = 4.3020 Å, b = 4.3020 Å, c = 5.3061 Å
α = 90.00°, β = 90.00°, γ = 90.00°
Space group P4/mmm (No. 123)
Asymmetric unit:
Pa (0.0000, 0.0000, 0.0000)
Si (0.0000, 0.5000, 0.5000)
Ni (0.0000, 0.0000, 0.5000)
Ru (0.5000, 0.5000, 0.2398)

***

Crystalline Y8TmTh2 at its relaxed geometry, computed with PBE.

Computed properties:
- excess energy over the best structure of this formula in the dataset (meV per atom) = 0.0
- total magnetization (μB/atom) = 0.00
- mass density (g cm⁻³) = 6.13
- E_tot (hartree per atom) = -0.231
- formation energy from the elements (eV per atom) = 0.184

a = 16.7237 Å, b = 6.6376 Å, c = 6.6438 Å
α = 90.00°, β = 99.30°, γ = 90.00°
Space group C2/m (No. 12)
Asymmetric unit:
Y (0.0867, 0.2407, 0.4006)
Y (0.0909, 0.0000, 0.9017)
Y (0.1984, 0.5000, 0.8198)
Tm (0.0000, 0.5000, 0.0000)
Th (0.2474, 0.5000, 0.3388)

***

Crystalline PuScSi2 at its relaxed geometry, computed with PBE.

Computed properties:
- excess energy over the best structure of this formula in the dataset (meV per atom) = 148.4
- formation energy from raw total energies (eV/atom) = -0.432
- total magnetization (μB/atom) = 1.40
- mass density (g cm⁻³) = 7.57
- E_tot (hartree per atom) = -0.305

a = 3.1005 Å, b = 3.1005 Å, c = 7.8766 Å
α = 90.00°, β = 90.00°, γ = 90.00°
Space group P4/mmm (No. 123)
Asymmetric unit:
Pu (0.0000, 0.0000, 0.0000)
Sc (0.0000, 0.0000, 0.5000)
Si (0.5000, 0.5000, 0.2615)

***

Crystalline RbNdZn2F8 at its relaxed geometry, computed with PBE.

Computed properties:
- formation energy from raw total energies (eV/atom) = -2.892
- total magnetization (μB/atom) = 0.01
- mass density (g cm⁻³) = 3.98
- E_tot (hartree per atom) = -0.177

a = 5.4189 Å, b = 5.4189 Å, c = 25.2505 Å
α = 90.00°, β = 90.00°, γ = 120.00°
Space group R32 (No. 155, hexagonal axes)
Asymmetric unit:
Rb (0.0000, 0.0000, 0.0000)
Nd (0.0000, 0.0000, 0.5000)
Zn (0.0000, 0.0000, 0.2575)
F (0.0000, 0.0000, 0.3310)
F (0.0051, 0.3465, 0.8902)

***

Crystalline BeHg3 at its relaxed geometry, computed with PBE.

Computed properties:
- excess energy over the best structure of this formula in the dataset (meV per atom) = 129.0
- total magnetization (μB/atom) = 0.00
- mass density (g cm⁻³) = 11.70
- E_tot (hartree per atom) = -0.030
- formation energy from the elements (eV per atom) = 0.346

a = 3.2928 Å, b = 5.9025 Å, c = 8.9192 Å
α = 90.00°, β = 90.00°, γ = 90.00°
Space group Cmmm (No. 65)
Asymmetric unit:
Be (0.0000, 0.0000, 0.0000)
Hg (0.0000, 0.0000, 0.5000)
Hg (0.0000, 0.5000, 0.2052)

***

Crystalline Se4I2Cl5 at its relaxed geometry, computed with PBE.

Computed properties:
- formation energy from raw total energies (eV/atom) = -0.059
- total magnetization (μB/atom) = 0.08
- mass density (g cm⁻³) = 2.55
- E_tot (hartree per atom) = -0.090

a = 10.3442 Å, b = 11.3229 Å, c = 8.5958 Å
α = 90.00°, β = 105.06°, γ = 90.00°
Space group C2/m (No. 12)
Asymmetric unit:
Se (0.0953, 0.0000, 0.3096)
Se (0.1708, 0.5000, 0.7066)
I (0.1980, 0.0000, 0.6277)
Cl (0.0000, 0.0000, 0.0000)
Cl (0.1208, 0.3408, 0.8360)

***

Crystalline RbGa2Bi2 at its relaxed geometry, computed with PBE.

Computed properties:
- excess energy over the best structure of this formula in the dataset (meV per atom) = 61.2
- total magnetization (μB/atom) = 0.00
- mass density (g cm⁻³) = 6.68
- E_tot (hartree per atom) = -0.113
- formation energy from the elements (eV per atom) = -0.128

a = 5.1683 Å, b = 5.1683 Å, c = 11.9731 Å
α = 90.00°, β = 90.00°, γ = 90.00°
Space group I4/mmm (No. 139)
Asymmetric unit:
Rb (0.0000, 0.0000, 0.0000)
Ga (0.0000, 0.0000, 0.3863)
Bi (0.0000, 0.5000, 0.2500)